1.
A relaxed NdErSc2Sb2 crystal. Source: OQMD, functional PBE-GGA.

Unit cell a=4.3853 b=4.3853 c=16.3897 alpha=90.00 beta=90.00 gamma=90.00
Space group I4mm (No. 107)
One atom of each set of equivalent atoms:
Nd (0.0000, 0.0000, 0.0000) [2 per cell]
Er (0.0000, 0.0000, 0.3518) [2 per cell]
Sc (0.0000, 0.5000, 0.1775) [4 per cell]
Sb (0.0000, 0.0000, 0.5467) [2 per cell]
Sb (0.0000, 0.0000, 0.8065) [2 per cell]

Computed properties:
Final energy = -0.216 Ha/atom
Total moment = 0.92 μB per formula unit

=====

2.
A relaxed LuNpPa crystal. Source: OQMD, functional PBE-GGA.

Unit cell a=6.7321 b=6.7321 c=6.7321 alpha=90.00 beta=90.00 gamma=90.00
Space group F-43m (No. 216)
One atom of each set of equivalent atoms:
Lu (0.0000, 0.0000, 0.0000) [4 per cell]
Np (0.0000, 0.0000, 0.5000) [4 per cell]
Pa (0.2500, 0.2500, 0.2500) [4 per cell]

Computed properties:
Total moment = 5.48 μB per formula unit
Formation enthalpy at 0 K = 1.1294 eV/atom
Energy relative to the lowest polymorph listed for this composition = 0 meV/atom